<i>
# Er2OsCl

A geometry-optimized Er2OsCl structure (PBE, the Alexandria database).

D(E_F), states/eV/atom: 0.313

The structure in CIF format:
```
data_Er2OsCl
_chemical_formula_sum 'Er2 Os1 Cl1'
_cell_length_a 3.327
_cell_length_b 3.327
_cell_length_c 7.954
_cell_angle_alpha 90.00
_cell_angle_beta 90.00
_cell_angle_gamma 90.00
_symmetry_space_group_name_H-M 'P 4/m m m'
_symmetry_Int_Tables_number 123
_symmetry_space_group_name_Hall '-P 4 2'
loop_
_atom_site_label
_atom_site_type_symbol
_atom_site_fract_x
_atom_site_fract_y
_atom_site_fract_z
Er1 Er 0.000 0.000 0.210
Os1 Os 0.500 0.500 0.000
Cl1 Cl 0.500 0.500 0.500
```

=====

<ii>
# Er2OsCl

A geometry-optimized Er2OsCl structure (PBE, the Alexandria database).

D(E_F), states/eV/atom: 0.607

The structure in CIF format:
```
data_Er2OsCl
_chemical_formula_sum 'Er6 Os3 Cl3'
_cell_length_a 3.9215
_cell_length_b 3.9215
_cell_length_c 22.2350
_cell_angle_alpha 90.00
_cell_angle_beta 90.00
_cell_angle_gamma 120.00
_symmetry_space_group_name_H-M 'R -3 m'
_symmetry_Int_Tables_number 166
_symmetry_space_group_name_Hall '-R 3 2"'
loop_
_atom_site_label
_atom_site_type_symbol
_atom_site_fract_x
_atom_site_fract_y
_atom_site_fract_z
Er1 Er 0.0000 0.0000 0.2349
Os1 Os 0.0000 0.0000 0.5000
Cl1 Cl 0.0000 0.0000 0.0000
```

=====

Which is the most stable structure? <i> is the most stable.

=====

<i>
# PmErCl

A geometry-optimized PmErCl structure (PBE, the Alexandria database).

D(E_F), states/eV/atom: 1.158

The structure in CIF format:
```
data_PmErCl
_chemical_formula_sum 'Pm2 Er2 Cl2'
_cell_length_a 6.443
_cell_length_b 3.699
_cell_length_c 7.057
_cell_angle_alpha 90.00
_cell_angle_beta 90.22
_cell_angle_gamma 90.00
_symmetry_space_group_name_H-M 'P 1 21/m 1'
_symmetry_Int_Tables_number 11
_symmetry_space_group_name_Hall '-P 2yb'
loop_
_atom_site_label
_atom_site_type_symbol
_atom_site_fract_x
_atom_site_fract_y
_atom_site_fract_z
Pm1 Pm 0.084 0.250 0.303
Er1 Er 0.418 0.250 0.686
Cl1 Cl 0.265 0.750 0.994
```

=====

<ii>
# PmErCl

A geometry-optimized PmErCl structure (PBE, the Alexandria database).

D(E_F), states/eV/atom: 1.113

The structure in CIF format:
```
data_PmErCl
_chemical_formula_sum 'Pm1 Er1 Cl1'
_cell_length_a 3.6887
_cell_length_b 3.6887
_cell_length_c 7.1143
_cell_angle_alpha 90.00
_cell_angle_beta 90.00
_cell_angle_gamma 120.00
_symmetry_space_group_name_H-M 'P 3 m 1'
_symmetry_Int_Tables_number 156
_symmetry_space_group_name_Hall 'P 3 -2"'
loop_
_atom_site_label
_atom_site_type_symbol
_atom_site_fract_x
_atom_site_fract_y
_atom_site_fract_z
Pm1 Pm 0.0000 0.0000 0.0000
Er1 Er 0.6667 0.3333 0.3808
Cl1 Cl 0.3333 0.6667 0.6751
```

=====

Which is the most stable structure? <ii> is the most stable.

=====

<i>
# PrErCl6

A geometry-optimized PrErCl6 structure (PBE, the Alexandria database).

D(E_F), states/eV/atom: 0.000

The structure in CIF format:
```
data_PrErCl6
_chemical_formula_sum 'Pr3 Er3 Cl18'
_cell_length_a 6.8293
_cell_length_b 6.8293
_cell_length_c 18.7090
_cell_angle_alpha 90.00
_cell_angle_beta 90.00
_cell_angle_gamma 120.00
_symmetry_space_group_name_H-M 'R -3'
_symmetry_Int_Tables_number 148
_symmetry_space_group_name_Hall '-R 3'
loop_
_atom_site_label
_atom_site_type_symbol
_atom_site_fract_x
_atom_site_fract_y
_atom_site_fract_z
Pr1 Pr 0.0000 0.0000 0.0000
Er1 Er 0.0000 0.0000 0.5000
Cl1 Cl 0.0117 0.6530 0.2477
```

=====

<ii>
# PrErCl6

A geometry-optimized PrErCl6 structure (PBE, the Alexandria database).

D(E_F), states/eV/atom: 0.000

The structure in CIF format:
```
data_PrErCl6
_chemical_formula_sum 'Pr2 Er2 Cl12'
_cell_length_a 7.072
_cell_length_b 12.226
_cell_length_c 7.280
_cell_angle_alpha 90.00
_cell_angle_beta 90.47
_cell_angle_gamma 90.00
_symmetry_space_group_name_H-M 'C 1 2/m 1'
_symmetry_Int_Tables_number 12
_symmetry_space_group_name_Hall '-C 2y'
loop_
_atom_site_label
_atom_site_type_symbol
_atom_site_fract_x
_atom_site_fract_y
_atom_site_fract_z
Pr1 Pr 0.000 0.000 0.000
Er1 Er 0.000 0.000 0.500
Cl1 Cl 0.142 0.143 0.736
Cl2 Cl 0.214 0.500 0.732
```

=====

Which is the most stable structure? <i> is the most stable.

=====

<i>
# Er2PtCl

A geometry-optimized Er2PtCl structure (PBE, the Alexandria database).

D(E_F), states/eV/atom: 0.705

The structure in CIF format:
```
data_Er2PtCl
_chemical_formula_sum 'Er6 Pt3 Cl3'
_cell_length_a 4.0236
_cell_length_b 4.0236
_cell_length_c 22.5507
_cell_angle_alpha 90.00
_cell_angle_beta 90.00
_cell_angle_gamma 120.00
_symmetry_space_group_name_H-M 'R 3 m'
_symmetry_Int_Tables_number 160
_symmetry_space_group_name_Hall 'R 3 -2"'
loop_
_atom_site_label
_atom_site_type_symbol
_atom_site_fract_x
_atom_site_fract_y
_atom_site_fract_z
Er1 Er 0.0000 0.0000 0.0000
Er2 Er 0.0000 0.0000 0.2024
Pt1 Pt 0.0000 0.0000 0.6003
Cl1 Cl 0.0000 0.0000 0.4258
```

=====

<ii>
# Er2PtCl

A geometry-optimized Er2PtCl structure (PBE, the Alexandria database).

D(E_F), states/eV/atom: 0.335

The structure in CIF format:
```
data_Er2PtCl
_chemical_formula_sum 'Er6 Pt3 Cl3'
_cell_length_a 4.2055
_cell_length_b 4.2055
_cell_length_c 24.0999
_cell_angle_alpha 90.00
_cell_angle_beta 90.00
_cell_angle_gamma 120.00
_symmetry_space_group_name_H-M 'R -3 m'
_symmetry_Int_Tables_number 166
_symmetry_space_group_name_Hall '-R 3 2"'
loop_
_atom_site_label
_atom_site_type_symbol
_atom_site_fract_x
_atom_site_fract_y
_atom_site_fract_z
Er1 Er 0.0000 0.0000 0.1097
Pt1 Pt 0.0000 0.0000 0.5000
Cl1 Cl 0.0000 0.0000 0.0000
```

=====

Which is the most stable structure? <ii> is the most stable.

=====

<i>
# RbEr2Cl7

A geometry-optimized RbEr2Cl7 structure (PBE, the Alexandria database).

D(E_F), states/eV/atom: 0.000

The structure in CIF format:
```
data_RbEr2Cl7
_chemical_formula_sum 'Rb4 Er8 Cl28'
_cell_length_a 13.744
_cell_length_b 6.930
_cell_length_c 12.615
_cell_angle_alpha 90.00
_cell_angle_beta 90.00
_cell_angle_gamma 90.00
_symmetry_space_group_name_H-M 'P n m a'
_symmetry_Int_Tables_number 62
_symmetry_space_group_name_Hall '-P 2ac 2n'
loop_
_atom_site_label
_atom_site_type_symbol
_atom_site_fract_x
_atom_site_fract_y
_atom_site_fract_z
Rb1 Rb 0.034 0.250 0.200
Er1 Er 0.241 0.250 0.542
Er2 Er 0.247 0.250 0.844
Cl1 Cl 0.114 0.750 0.191
Cl2 Cl 0.129 0.010 0.424
Cl3 Cl 0.134 0.010 0.961
Cl4 Cl 0.176 0.011 0.694
```

=====

<ii>
# RbEr2Cl7

A geometry-optimized RbEr2Cl7 structure (PBE, the Alexandria database).

D(E_F), states/eV/atom: 0.000

The structure in CIF format:
```
data_RbEr2Cl7
_chemical_formula_sum 'Rb2 Er4 Cl14'
_cell_length_a 8.430
_cell_length_b 13.654
_cell_length_c 5.255
_cell_angle_alpha 90.00
_cell_angle_beta 90.00
_cell_angle_gamma 90.00
_symmetry_space_group_name_H-M 'C m m m'
_symmetry_Int_Tables_number 65
_symmetry_space_group_name_Hall '-C 2 2'
loop_
_atom_site_label
_atom_site_type_symbol
_atom_site_fract_x
_atom_site_fract_y
_atom_site_fract_z
Rb1 Rb 0.000 0.000 0.000
Er1 Er 0.000 0.304 0.500
Cl1 Cl 0.000 0.297 0.000
Cl2 Cl 0.000 0.500 0.500
Cl3 Cl 0.188 0.141 0.500
```

=====

Which is the most stable structure? <i> is the most stable.

=====

<i>
# Rb2ErCl5

A geometry-optimized Rb2ErCl5 structure (PBE, the Alexandria database).

D(E_F), states/eV/atom: 0.000

The structure in CIF format:
```
data_Rb2ErCl5
_chemical_formula_sum 'Rb8 Er4 Cl20'
_cell_length_a 13.315
_cell_length_b 8.748
_cell_length_c 8.352
_cell_angle_alpha 90.00
_cell_angle_beta 90.00
_cell_angle_gamma 90.00
_symmetry_space_group_name_H-M 'P n m a'
_symmetry_Int_Tables_number 62
_symmetry_space_group_name_Hall '-P 2ac 2n'
loop_
_atom_site_label
_atom_site_type_symbol
_atom_site_fract_x
_atom_site_fract_y
_atom_site_fract_z
Rb1 Rb 0.169 0.008 0.071
Er1 Er 0.005 0.250 0.568
Cl1 Cl 0.016 0.250 0.890
Cl2 Cl 0.061 0.546 0.661
Cl3 Cl 0.176 0.250 0.407
Cl4 Cl 0.189 0.750 0.360
```

=====

<ii>
# Rb2ErCl5

A geometry-optimized Rb2ErCl5 structure (PBE, the Alexandria database).

D(E_F), states/eV/atom: 0.000

The structure in CIF format:
```
data_Rb2ErCl5
_chemical_formula_sum 'Rb8 Er4 Cl20'
_cell_length_a 9.669
_cell_length_b 7.388
_cell_length_c 14.892
_cell_angle_alpha 90.00
_cell_angle_beta 90.00
_cell_angle_gamma 90.00
_symmetry_space_group_name_H-M 'P n m a'
_symmetry_Int_Tables_number 62
_symmetry_space_group_name_Hall '-P 2ac 2n'
loop_
_atom_site_label
_atom_site_type_symbol
_atom_site_fract_x
_atom_site_fract_y
_atom_site_fract_z
Rb1 Rb 0.025 0.250 0.213
Rb2 Rb 0.161 0.750 0.415
Er1 Er 0.184 0.750 0.061
Cl1 Cl 0.000 0.000 0.000
Cl2 Cl 0.038 0.750 0.206
Cl3 Cl 0.155 0.506 0.610
Cl4 Cl 0.223 0.250 0.395
```

=====

Which is the most stable structure? <ii> is the most stable.